No. 1
Crystalline PuAg3I2Cl6 at its relaxed geometry. Source: the Alexandria database, functional PBE-GGA.

Cell lengths 6.2839, 7.9748, 8.3209 Å; angles 118.63, 95.12, 90.00 degrees
Closest atoms and distances in Å follow each position.
Positions (direct):
Cl  0.7434  0.3079  0.1494  1 Pu 2.58
Cl  0.7434  0.8415  0.1494  1 Pu 2.58
Cl  0.7167  0.8557  0.7114  1 Pu 2.62, 2 Ag 2.79
Cl  0.2566  0.1585  0.8506  1 Pu 2.58
Cl  0.2833  0.1443  0.2886  1 Pu 2.62, 2 Ag 2.79
Cl  0.2566  0.6921  0.8506  1 Pu 2.58
I  0.7832  0.3215  0.6429  3 Ag 2.80-2.82
I  0.2168  0.6785  0.3571  3 Ag 2.80-2.82
Ag  0.5000  0.5000  0.5000  4 Cl 2.79-3.12, 2 I 2.80
Ag  0.0000  0.5000  0.0000  2 I 2.82, 4 Cl 2.95
Ag  0.5000  0.0000  0.5000  4 Cl 2.79-3.12, 2 I 2.80
Pu  0.5000  0.0000  0.0000  6 Cl 2.58-2.62

## Properties
DFT total energy in hartree per atom: -0.14476
Raw formation energy in eV per atom: -0.85



No. 2
Crystalline RbAg2ICl2 at its relaxed geometry. Source: the Alexandria database, functional PBE-GGA.

Cell lengths 5.8883, 7.3409, 9.9065 Å; angles 110.28, 90.00, 90.00 degrees
Closest atoms and distances in Å follow each position.
Positions (direct):
Ag  0.5002  0.8885  0.8453  2 Cl 2.65-2.66, 2 I 2.90-2.93, 3 Ag 2.93-2.95
Ag  0.0002  0.1115  0.1547  2 Cl 2.65-2.66, 2 I 2.90-2.93, 3 Ag 2.93-2.95
Ag  0.9998  0.8885  0.8453  2 Cl 2.65-2.66, 2 I 2.90-2.93, 3 Ag 2.93-2.95
Ag  0.4998  0.1115  0.1547  2 Cl 2.65-2.66, 2 I 2.90-2.93, 3 Ag 2.93-2.95
Rb  0.7500  0.3276  0.5968  4 Cl 3.29-3.44
Rb  0.2500  0.6724  0.4032  4 Cl 3.29-3.44
Cl  0.7500  0.8922  0.6239  2 Ag 2.65
Cl  0.7500  0.4218  0.2954  2 Ag 2.66
Cl  0.2500  0.5782  0.7046  2 Ag 2.66
Cl  0.2500  0.1078  0.3761  2 Ag 2.65
I  0.2500  0.2500  0.9527  4 Ag 2.90-2.93
I  0.7500  0.7500  0.0473  4 Ag 2.90-2.93

## Properties
DFT total energy in hartree per atom: -0.10520
Raw formation energy in eV per atom: -0.88